<w>
First-principles (PBE) data for a geometry-optimized NdYGaRh structure, as listed in Alexandria.

Lattice parameters (Å, degrees): 4.235 4.234 5.713 90.00 111.75 90.00
Positions (direct):
1 Nd 0.148 0.000 0.295
2 Y 0.864 0.500 0.728
3 Ga 0.567 0.500 0.134
4 Rh 0.421 0.000 0.842

The total magnetic moment is 0.00 Bohr magnetons per cell. The value obtained for the density of states at the Fermi level is 0.909 states/eV per atom. Its space group is No. 38. As for the volume: 95.2 Å³/f.u.

=====

<x>
First-principles (PBE) data for a geometry-optimized NdYGaRh structure, as listed in Alexandria.

Lattice parameters (Å, degrees): 5.057 5.057 5.057 60.00 60.00 60.00
Positions (direct):
1 Y 0.750 0.750 0.750
2 Rh 0.000 0.000 0.000
3 Nd 0.250 0.250 0.250
4 Ga 0.500 0.500 0.500

The total magnetic moment is 0.00 Bohr magnetons per cell. The value obtained for the density of states at the Fermi level is 0.932 states/eV per atom. Its space group is No. 216. As for the volume: 91.4 Å³/f.u.

=====

Least stable: <x>

=====

<w>
First-principles (PBE) data for a geometry-optimized Nd8Ga2Ru structure, as listed in Alexandria.

Lattice parameters (Å, degrees): 5.476 7.010 9.328 112.08 107.07 90.00
Positions (direct):
1 Nd 0.628 0.864 0.257
2 Nd 0.371 0.607 0.743
3 Nd 0.198 0.198 0.395
4 Nd 0.000 0.252 0.000
5 Nd 0.802 0.802 0.605
6 Nd 0.628 0.393 0.257
7 Nd 0.372 0.136 0.743
8 Nd 0.000 0.748 0.000
9 Ga 0.185 0.685 0.370
10 Ga 0.815 0.315 0.630
11 Ru 0.500 0.000 0.000

The total magnetic moment is 0.00 Bohr magnetons per cell. The value obtained for the density of states at the Fermi level is 1.113 states/eV per atom. Its space group is No. 71. As for the volume: 314.7 Å³/f.u.

=====

<x>
First-principles (PBE) data for a geometry-optimized Nd8Ga2Ru structure, as listed in Alexandria.

Lattice parameters (Å, degrees): 5.154 6.935 9.498 101.23 105.74 90.00
Positions (direct):
1 Nd 0.409 0.557 0.818
2 Nd 0.653 0.961 0.307
3 Nd 0.795 0.697 0.590
4 Nd 0.977 0.219 0.954
5 Nd 0.205 0.303 0.410
6 Nd 0.347 0.039 0.693
7 Nd 0.591 0.443 0.182
8 Nd 0.023 0.781 0.046
9 Ga 0.809 0.263 0.618
10 Ga 0.191 0.737 0.382
11 Ru 0.500 0.000 0.000

The total magnetic moment is 0.00 Bohr magnetons per cell. The value obtained for the density of states at the Fermi level is 0.906 states/eV per atom. Its space group is No. 12. As for the volume: 320.0 Å³/f.u.

=====

Least stable: <w>